Record 1
# KLaZr2C

A relaxed KLaZr2C crystal (PBE, the Alexandria database).

Values from the calculation:
DOS(E_F) (states/eV/cell): 6.13
E (eV per atom): -4.24
Volume (Å³/atom): 24.4
SG: No. 123

a b c (Å): 4.9434 4.9972 4.9434
angles (deg): 90.00 90.00 90.00
Fractional positions:
K1 0.0000 0.0000 0.0000
C1 0.0000 0.5000 0.0000
Zr1 0.0000 0.0000 0.5000
Zr2 0.5000 0.0000 0.0000
La1 0.5000 0.5000 0.5000

Record 2
# KLiC3

A relaxed KLiC3 crystal (PBE, the Alexandria database).

Values from the calculation:
DOS(E_F) (states/eV/cell): 2.92
E (eV per atom): -3.31
Volume (Å³/atom): 13.1
SG: No. 221

a b c (Å): 4.0346 4.0346 4.0346
angles (deg): 90.00 90.00 90.00
Fractional positions:
K1 0.5000 0.5000 0.5000
C1 0.0000 0.5000 0.0000
C2 0.0000 0.0000 0.5000
C3 0.5000 0.0000 0.0000
Li1 0.0000 0.0000 0.0000

Record 3
# K2LiC

A relaxed K2LiC crystal (PBE, the Alexandria database).

Values from the calculation:
DOS(E_F) (states/eV/cell): 3.83
E (eV per atom): -2.46
Volume (Å³/atom): 34.3
SG: No. 122

a b c (Å): 11.3714 11.3714 8.3158
angles (deg): 46.86 46.86 90.00
Fractional positions:
K1 0.8260 0.1250 0.2500
K2 0.9240 0.6250 0.2500
K3 0.3750 0.1740 0.7500
K4 0.8750 0.0760 0.7500
C1 0.0000 0.0000 0.0000
C2 0.7500 0.2500 0.5000
Li1 0.5000 0.5000 0.0000
Li2 0.2500 0.7500 0.5000

Record 4
# KLiC3

A relaxed KLiC3 crystal (PBE, the Alexandria database).

Values from the calculation:
DOS(E_F) (states/eV/cell): 4.62
E (eV per atom): -2.37
Volume (Å³/atom): 33.8
SG: No. 221

a b c (Å): 5.5285 5.5285 5.5285
angles (deg): 90.00 90.00 90.00
Fractional positions:
K1 0.0000 0.0000 0.0000
C1 0.0000 0.5000 0.0000
C2 0.0000 0.0000 0.5000
C3 0.5000 0.0000 0.0000
Li1 0.5000 0.5000 0.5000

Record 5
# K3LiC

A relaxed K3LiC crystal (PBE, the Alexandria database).

Values from the calculation:
DOS(E_F) (states/eV/cell): 1.73
E (eV per atom): -1.98
Volume (Å³/atom): 42.0
SG: No. 221

a b c (Å): 5.9449 5.9449 5.9449
angles (deg): 90.00 90.00 90.00
Fractional positions:
K1 0.0000 0.5000 0.0000
K2 0.0000 0.0000 0.5000
K3 0.5000 0.0000 0.0000
C1 0.0000 0.0000 0.0000
Li1 0.5000 0.5000 0.5000

Record 6
# KLi2C

A relaxed KLi2C crystal (PBE, the Alexandria database).

Values from the calculation:
DOS(E_F) (states/eV/cell): 2.49
E (eV per atom): -2.79
Volume (Å³/atom): 23.7
SG: No. 141

a b c (Å): 6.1159 6.1159 6.6614
angles (deg): 62.67 62.67 90.00
Fractional positions:
K1 0.0000 0.0000 0.0000
K2 0.7500 0.2500 0.5000
C1 0.5000 0.5000 0.0000
C2 0.2500 0.7500 0.5000
Li1 0.3755 0.1250 0.2500
Li2 0.3745 0.6250 0.2500
Li3 0.3750 0.6245 0.7500
Li4 0.8750 0.6255 0.7500

> What is the formula in the third record?

K2LiC

> E of number 6 (KLi2C)?

-2.79 eV per atom